Record 1
Computed, not measured: an optimized crystal structure of Dy3YBi3 at the PBE level of DFT.

The space group is P2_13 (No. 198) and the conventional cell measures 9.397, 9.397 and 9.397 Å, with angles of 90.00, 90.00 and 90.00 degrees. Symmetry generates all atoms from Dy at (0.073, 0.427, 0.573), Dy at (0.177, 0.177, 0.177), Dy at (0.177, 0.823, 0.323), Y at (0.073, 0.573, 0.927) and Bi at (0.000, 0.250, 0.875).

The energy of formation is -0.74 eV per atom. Its energy above the most stable polymorph in this dataset is 0 meV per atom.

=====

Record 2
Computed, not measured: an optimized crystal structure of LaPrSm6Dy2 at the PBE level of DFT.

The space group is C2/c (No. 15) and the conventional cell measures 9.321, 15.272 and 9.749 Å, with angles of 90.00, 97.21 and 90.00 degrees. Symmetry generates all atoms from La at (0.000, 0.094, 0.250), Pr at (0.000, 0.468, 0.750), Sm at (0.066, 0.322, 0.443), Sm at (0.095, 0.110, 0.620), Sm at (0.207, 0.272, 0.821) and Dy at (0.246, 0.451, 0.048).

The energy of formation is 0.12 eV per atom.

=====

Record 3
Computed, not measured: an optimized crystal structure of Be2InCu at the PBE level of DFT.

The space group is C2/m (No. 12) and the conventional cell measures 5.227, 8.368 and 2.944 Å, with angles of 90.00, 119.38 and 90.00 degrees. Symmetry generates all atoms from Be at (0.250, 0.250, 0.000), In at (0.000, 0.000, 0.000) and Cu at (0.000, 0.500, 0.000).

The energy of formation is 0.43 eV per atom.

=====

Record 4
Computed, not measured: an optimized crystal structure of LiRhSe at the PBE level of DFT.

The space group is F-43m (No. 216) and the conventional cell measures 5.828, 5.828 and 5.828 Å, with angles of 90.00, 90.00 and 90.00 degrees. Symmetry generates all atoms from Li at (0.000, 0.000, 0.000), Rh at (0.000, 0.000, 0.500) and Se at (0.250, 0.250, 0.250).

Its energy above the most stable polymorph in this dataset is 14 meV per atom. As for the raw formation energy: -1.3 eV/f.u.

=====

Record 5
Computed, not measured: an optimized crystal structure of NaAlI3 at the PBE level of DFT.

The space group is Pm-3m (No. 221) and the conventional cell measures 5.760, 5.760 and 5.760 Å, with angles of 90.00, 90.00 and 90.00 degrees. Symmetry generates all atoms from Na at (0.000, 0.000, 0.000), Al at (0.500, 0.500, 0.500) and I at (0.000, 0.500, 0.500).

Its energy above the most stable polymorph in this dataset is 0 meV per atom. As for the raw formation energy: -3.0 eV/f.u.

=====

Record 6
Computed, not measured: an optimized crystal structure of Be2MoSe at the PBE level of DFT.

The space group is F-43m (No. 216) and the conventional cell measures 5.972, 5.972 and 5.972 Å, with angles of 90.00, 90.00 and 90.00 degrees. Symmetry generates all atoms from Be at (0.000, 0.000, 0.000), Be at (0.250, 0.250, 0.250), Mo at (0.000, 0.000, 0.500) and Se at (0.250, 0.250, 0.750).

As for the raw formation energy: 2.5 eV/f.u.